## Cd2AgHg (PBE)

Data for a geometry-optimized Cd2AgHg structure.

abc: 5.1784 5.1784 5.3724
angles: 81.34 81.34 37.06
Element x y z (fractional)
Hg (0.2500, 0.2500, 0.2500)
Ag (0.7500, 0.7500, 0.7500)
Cd (0.0052, 0.0052, 0.9890)
Cd (0.4948, 0.4948, 0.5110)

Results
Energy of formation   0.022 eV per atom
Density of states at the Fermi level   0.9 states/eV/f.u.
SG   No. 12


## Y4GaSnO (PBE)

Data for a geometry-optimized Y4GaSnO structure.

abc: 6.4298 6.4382 8.8730
angles: 90.00 111.24 90.00
Element x y z (fractional)
Y (0.9355, 0.2500, 0.8710)
Y (0.4180, 0.7500, 0.8361)
Y (0.0645, 0.7500, 0.1290)
Y (0.5820, 0.2500, 0.1639)
Y (0.5000, 0.5000, 0.5000)
Y (0.0000, 0.0000, 0.5000)
Y (0.5000, 0.0000, 0.5000)
Y (0.0000, 0.5000, 0.5000)
Ga (0.1170, 0.2500, 0.2340)
Ga (0.8830, 0.7500, 0.7660)
Sn (0.6091, 0.7500, 0.2182)
Sn (0.3909, 0.2500, 0.7818)
O (0.2697, 0.7500, 0.5393)
O (0.7303, 0.2500, 0.4607)

Results
Density of states at the Fermi level   4.6 states/eV/f.u.
SG   No. 63
Formation energy from raw total energies   -1.255 eV/atom


## Sm2Al4CdPd3 (PBE)

Data for a geometry-optimized Sm2Al4CdPd3 structure.

abc: 4.2700 4.2700 10.8729
angles: 90.00 90.00 90.00
Element x y z (fractional)
Sm (0.5000, 0.0000, 0.2383)
Sm (0.0000, 0.5000, 0.7617)
Al (0.5000, 0.5000, 0.0000)
Al (0.0000, 0.0000, 0.0000)
Al (0.5000, 0.0000, 0.6449)
Al (0.0000, 0.5000, 0.3551)
Cd (0.5000, 0.5000, 0.5000)
Pd (0.0000, 0.0000, 0.5000)
Pd (0.5000, 0.0000, 0.8722)
Pd (0.0000, 0.5000, 0.1278)

Results
Energy of formation   -0.717 eV per atom
Density of states at the Fermi level   6.8 states/eV/f.u.
SG   No. 115


## Sm3Y4TmS8 (PBE)

Data for a geometry-optimized Sm3Y4TmS8 structure.

abc: 7.8893 7.8917 7.8889
angles: 119.99 120.00 90.00
Element x y z (fractional)
Sm (0.5000, 0.5000, 0.0000)
Sm (0.5000, 0.5000, 0.5000)
Sm (0.0000, 0.5000, 0.5000)
Y (0.5000, 0.0000, 0.0000)
Y (0.5000, 0.0000, 0.5000)
Y (0.0000, 0.0000, 0.0000)
Y (0.0000, 0.0000, 0.5000)
Tm (0.0000, 0.5000, 0.0000)
S (0.2471, 0.7531, 0.0061)
S (0.2471, 0.7531, 0.4941)
S (0.2469, 0.2407, 0.4938)
S (0.7590, 0.7531, 0.0061)
S (0.2410, 0.2469, 0.9939)
S (0.7531, 0.7593, 0.5062)
S (0.7529, 0.2469, 0.5059)
S (0.7529, 0.2469, 0.9939)

Results
Density of states at the Fermi level   9.0 states/eV/f.u.
SG   No. 166
Formation energy from raw total energies   -1.992 eV/atom


## Ba2MgTePd (PBE)

Data for a geometry-optimized Ba2MgTePd structure.

abc: 6.2194 5.1990 6.2194
angles: 90.00 90.00 90.00
Element x y z (fractional)
Mg (0.5000, 0.5000, 0.5000)
Te (0.0000, 0.5000, 0.0000)
Ba (0.0000, 0.0000, 0.5000)
Ba (0.5000, 0.0000, 0.0000)
Pd (0.0000, 0.0000, 0.0000)

Results
Density of states at the Fermi level   2.3 states/eV/f.u.
SG   No. 123
Formation energy from raw total energies   -0.449 eV/atom


## Y3MnAg4S8 (PBE)

Data for a geometry-optimized Y3MnAg4S8 structure.

abc: 7.7855 8.9875 7.9961
angles: 126.52 119.13 90.00
Site moments in Bohr magnetons follow the coordinates.
Element x y z (fractional)
Y (0.5000, 0.5000, 0.0000)  0.02
Y (0.5000, 0.5000, 0.5000)  0.01
Y (0.0000, 0.5000, 0.5000)  0.01
Mn (0.0000, 0.5000, 0.0000)  3.72
Ag (0.5000, 0.0000, 0.0000)  0.01
Ag (0.5000, 0.0000, 0.5000)  0.01
Ag (0.0000, 0.0000, 0.0000)  0.01
Ag (0.0000, 0.0000, 0.5000)  0.01
S (0.2337, 0.7043, 0.0277)  -0.03
S (0.2678, 0.7297, 0.5355)  0.02
S (0.2385, 0.2747, 0.4770)  0.01
S (0.7940, 0.7043, 0.0277)  -0.03
S (0.2060, 0.2957, 0.9723)  -0.03
S (0.7615, 0.7253, 0.5230)  0.01
S (0.7322, 0.2703, 0.4645)  0.02
S (0.7663, 0.2957, 0.9723)  -0.03

Results
SG   No. 12
Formation energy from raw total energies   -1.029 eV/atom


## OsBr2O (PBE)

Data for a geometry-optimized OsBr2O structure.

abc: 8.3464 8.3464 8.3464
angles: 21.70 21.70 21.70
Element x y z (fractional)
Os (0.0000, 0.0000, 0.0000)
O (0.5000, 0.5000, 0.5000)
Br (0.9044, 0.9044, 0.9044)
Br (0.0956, 0.0956, 0.0956)

Results
Density of states at the Fermi level   6.2 states/eV/f.u.
SG   No. 166
Formation energy from raw total energies   1.180 eV/atom


## H4Se2I3 (PBE)

Data for a geometry-optimized H4Se2I3 structure.

abc: 8.7624 9.1567 9.1567
angles: 76.16 57.34 57.34
Element x y z (fractional)
H (0.2022, 0.0467, 0.2952)
H (0.2978, 0.7048, 0.9533)
H (0.7978, 0.9533, 0.7048)
H (0.7022, 0.2952, 0.0467)
H (0.0301, 0.3063, 0.4230)
H (0.4699, 0.5770, 0.6937)
H (0.9699, 0.6937, 0.5770)
H (0.5301, 0.4230, 0.3063)
Se (0.2628, 0.1356, 0.3561)
Se (0.2372, 0.6439, 0.8644)
Se (0.7372, 0.8644, 0.6439)
Se (0.7628, 0.3561, 0.1356)
I (0.8527, 0.0379, 0.3219)
I (0.6473, 0.6781, 0.9621)
I (0.1473, 0.9621, 0.6781)
I (0.3527, 0.3219, 0.0379)
I (0.2500, 0.4575, 0.5425)
I (0.7500, 0.5425, 0.4575)

Results
Calculated total energy   -2.751 eV/atom
Density of states at the Fermi level   3.1 states/eV/f.u.
SG   No. 15


Copy entry 6 word for word.
## Y3MnAg4S8 (PBE)

Data for a geometry-optimized Y3MnAg4S8 structure.

abc: 7.7855 8.9875 7.9961
angles: 126.52 119.13 90.00
Site moments in Bohr magnetons follow the coordinates.
Element x y z (fractional)
Y (0.5000, 0.5000, 0.0000)  0.02
Y (0.5000, 0.5000, 0.5000)  0.01
Y (0.0000, 0.5000, 0.5000)  0.01
Mn (0.0000, 0.5000, 0.0000)  3.72
Ag (0.5000, 0.0000, 0.0000)  0.01
Ag (0.5000, 0.0000, 0.5000)  0.01
Ag (0.0000, 0.0000, 0.0000)  0.01
Ag (0.0000, 0.0000, 0.5000)  0.01
S (0.2337, 0.7043, 0.0277)  -0.03
S (0.2678, 0.7297, 0.5355)  0.02
S (0.2385, 0.2747, 0.4770)  0.01
S (0.7940, 0.7043, 0.0277)  -0.03
S (0.2060, 0.2957, 0.9723)  -0.03
S (0.7615, 0.7253, 0.5230)  0.01
S (0.7322, 0.2703, 0.4645)  0.02
S (0.7663, 0.2957, 0.9723)  -0.03

Results
SG   No. 12
Formation energy from raw total energies   -1.029 eV/atom